No. 1
DFT (PBE) results for a relaxed structure of Li2AgP.

Cell lengths 4.339, 2.914, 4.742 Å; angles 89.99, 90.00, 90.00 degrees
Fractional positions:
1 P 0.000 0.625 0.451
2 Ag 0.500 0.625 0.781
3 Li 0.500 0.125 0.307
4 Li 0.000 0.125 0.962

## Properties
Its space-group type is Pmm2 (25). The calculation puts the electronic total energy at -3.32 eV/atom.

No. 2
DFT (PBE) results for a relaxed structure of Na2NpBeO4.

Cell lengths 4.803, 6.860, 6.433 Å; angles 90.00, 90.00, 90.00 degrees
Fractional positions:
1 O 0.927 0.294 0.773
2 Be 0.009 0.186 0.000
3 O 0.850 0.822 0.500
4 Na 0.454 0.368 0.258
5 Na 0.954 0.632 0.242
6 O 0.927 0.294 0.227
7 O 0.427 0.706 0.273
8 Na 0.454 0.368 0.742
9 O 0.919 0.934 0.000
10 Np 0.960 0.109 0.500
11 O 0.419 0.066 0.500
12 Na 0.954 0.632 0.758
13 O 0.350 0.178 0.000
14 O 0.427 0.706 0.727
15 Np 0.460 0.891 0.000
16 Be 0.509 0.814 0.500

## Properties
Its space-group type is Pmn2_1 (31). The calculation puts the electronic total energy at -7.09 eV/atom. The formation energy from raw total energies comes out at -17.6 eV/f.u.

No. 3
DFT (PBE) results for a relaxed structure of CdSe2Br.

Cell lengths 4.227, 4.972, 6.384 Å; angles 58.14, 90.00, 90.00 degrees
Fractional positions:
1 Se 0.000 0.984 0.899
2 Se 0.000 0.516 0.601
3 Br 0.500 0.250 0.250
4 Cd 0.500 0.750 0.750

## Properties
Its space-group type is P2/m (10). The calculation puts the electronic total energy at -2.69 eV/atom. The formation energy from raw total energies comes out at -1.2 eV/f.u.

No. 4
DFT (PBE) results for a relaxed structure of YBe2TcCl.

Cell lengths 5.353, 5.037, 5.353 Å; angles 90.00, 90.00, 90.00 degrees
Fractional positions:
1 Tc 0.000 0.500 0.000
2 Be 0.000 0.000 0.500
3 Cl 0.500 0.500 0.500
4 Be 0.500 0.000 0.000
5 Y 0.000 0.000 0.000

## Properties
Its space-group type is P4/mmm (123). The calculation puts the electronic total energy at -3.36 eV/atom. The formation energy from raw total energies comes out at 9.3 eV/f.u.

No. 5
DFT (PBE) results for a relaxed structure of TlCuSe.

Cell lengths 4.613, 4.613, 4.613 Å; angles 60.00, 60.00, 60.00 degrees
Fractional positions:
1 Cu 0.250 0.250 0.250
2 Se 0.000 0.000 0.000
3 Tl 0.500 0.500 0.500

## Properties
Its space-group type is F-43m (216). The calculation puts the electronic total energy at -3.33 eV/atom. The formation energy from raw total energies comes out at 0.0 eV/f.u.

No. 6
DFT (PBE) results for a relaxed structure of K3TeH.

Cell lengths 4.278, 9.489, 9.489 Å; angles 116.10, 90.00, 90.00 degrees
Fractional positions:
1 H 0.000 0.335 0.665
2 Te 0.500 0.335 0.665
3 K 0.500 0.941 0.484
4 K 0.000 0.501 0.499
5 K 0.500 0.516 0.059

## Properties
Its space-group type is Amm2 (38). The calculation puts the electronic total energy at -2.12 eV/atom.